[1]
Material: Cr2SbPtS
Method: DFT, GGA-PBEsol
State: optimized geometry

a = 4.9718 Å, b = 4.9718 Å, c = 4.8645 Å
α = 90.00°, β = 90.00°, γ = 90.00°
Last column: nearest neighbours and their distance in Å.
Atoms (fractional coordinates):
Cr 0.0000 0.5000 0.0000  2 Sb 2.49
Cr 0.5000 0.0000 0.0000  2 Sb 2.49
Sb 0.0000 0.0000 0.0000  2 S 2.43, 4 Cr 2.49
Pt 0.5000 0.5000 0.5000  8 Cr 3.48, 4 S 3.52
S 0.0000 0.0000 0.5000  2 Sb 2.43

Computed properties:
Formation energy from raw total energies ... 1.5795 eV/atom
SG ... P4/mmm (123)
Crystal system ... tetragonal

***

[2]
Material: CdH10S2N4O8
Method: DFT, GGA-PBEsol
State: optimized geometry

a = 5.5533 Å, b = 5.8283 Å, c = 7.2956 Å
α = 90.58°, β = 103.77°, γ = 99.94°
Last column: nearest neighbours and their distance in Å.
Atoms (fractional coordinates):
Cd 0.0000 0.0000 0.0000  2 N 2.28, 4 O 2.32-2.34
H 0.0799 0.3106 0.7134  1 N 1.05
H 0.1284 0.9187 0.3944  1 N 1.04
H 0.2482 0.5698 0.1722  1 N 1.04
H 0.3066 0.5968 0.4169  1 N 1.06
H 0.4476 0.8096 0.2936  1 N 1.06
H 0.5524 0.1904 0.7064  1 N 1.06
H 0.6934 0.4032 0.5831  1 N 1.06
H 0.7518 0.4302 0.8278  1 N 1.04
H 0.8716 0.0813 0.6056  1 N 1.04
H 0.9201 0.6894 0.2866  1 N 1.05
S 0.3534 0.7362 0.7755  4 O 1.48-1.50
S 0.6466 0.2638 0.2245  4 O 1.48-1.50
N 0.0775 0.8099 0.2732  2 H 1.04-1.05
N 0.2822 0.6847 0.2890  3 H 1.04-1.06
N 0.7178 0.3153 0.7110  3 H 1.04-1.06
N 0.9225 0.1901 0.7268  2 H 1.04-1.05
O 0.1589 0.6995 0.8877  1 S 1.49
O 0.3024 0.5288 0.6404  1 S 1.50
O 0.3316 0.9500 0.6668  1 S 1.49, 1 H 1.67
O 0.3916 0.2465 0.0982  1 S 1.48
O 0.6084 0.7535 0.9018  1 S 1.48
O 0.6684 0.0500 0.3332  1 S 1.49, 1 H 1.67
O 0.6976 0.4712 0.3596  1 S 1.50
O 0.8411 0.3005 0.1123  1 S 1.49

Computed properties:
SG ... P-1 (2)
Crystal system ... triclinic

***

Quick rundown of VASP energy, same order as above: -5.70, -5.63 eV/atom